[1]
Compound: PaAlPt3
Source: Alexandria
Functional: PBE-GGA
Structure: relaxed

abc: 6.8544 6.8544 5.6820
angles: 90.00 90.00 136.25
Positions (direct):
Pa 0.1276 0.8724 0.7500
Pa 0.8724 0.1276 0.2500
Al 0.4834 0.5166 0.7500
Al 0.5166 0.4834 0.2500
Pt 0.0989 0.9011 0.2500
Pt 0.3281 0.6719 0.0103
Pt 0.3281 0.6719 0.4897
Pt 0.6719 0.3281 0.5103
Pt 0.6719 0.3281 0.9897
Pt 0.9011 0.0989 0.7500

Results
magnetization = 0.0 μB/f.u.
symmetry = Cmcm (63)
formation energy from the elements = -0.859 eV per atom
mass density = 15.2 g/cm3

[2]
Compound: PaAl2Pt3
Source: Alexandria
Functional: PBE-GGA
Structure: relaxed

abc: 6.3791 6.3791 5.4599
angles: 90.00 90.00 76.77
Positions (direct):
Pa 0.1665 0.8335 0.7500
Pa 0.8335 0.1665 0.2500
Al 0.2839 0.2839 0.0000
Al 0.2839 0.2839 0.5000
Al 0.7161 0.7161 0.0000
Al 0.7161 0.7161 0.5000
Pt 0.0482 0.6532 0.2500
Pt 0.3468 0.9518 0.2500
Pt 0.4910 0.5090 0.2500
Pt 0.5090 0.4910 0.7500
Pt 0.6532 0.0482 0.7500
Pt 0.9518 0.3468 0.7500

Results
magnetization = 0.0 μB/f.u.
symmetry = Cmcm (63)
formation energy from the elements = -0.947 eV per atom
mass density = 13.4 g/cm3

[3]
Compound: Pa3Al2Pt6
Source: Alexandria
Functional: PBE-GGA
Structure: relaxed

abc: 14.6889 14.6889 14.6889
angles: 164.56 164.56 21.90
Positions (direct):
Pa 0.0000 0.0000 0.0000
Pa 0.1826 0.1826 0.0000
Pa 0.8174 0.8174 0.0000
Al 0.3742 0.3742 0.0000
Al 0.6258 0.6258 0.0000
Pt 0.0722 0.5722 0.5000
Pt 0.2850 0.2850 0.0000
Pt 0.4278 0.9278 0.5000
Pt 0.5722 0.0722 0.5000
Pt 0.7150 0.7150 0.0000
Pt 0.9278 0.4278 0.5000

Results
magnetization = 0.0 μB/f.u.
symmetry = I4/mmm (139)
formation energy from the elements = -0.800 eV per atom
mass density = 14.2 g/cm3

[4]
Compound: Pa2Al5Pt3
Source: Alexandria
Functional: PBE-GGA
Structure: relaxed

abc: 12.5991 12.5991 6.8176
angles: 90.00 90.00 160.21
Positions (direct):
Pa 0.0185 0.9815 0.5000
Pa 0.3274 0.6726 0.4704
Pa 0.6726 0.3274 0.9704
Pa 0.9815 0.0185 0.0000
Al 0.1035 0.8965 0.1513
Al 0.2071 0.7929 0.6538
Al 0.2108 0.7892 0.2565
Al 0.3742 0.6258 0.9926
Al 0.4457 0.5543 0.3257
Al 0.5543 0.4457 0.8257
Al 0.6258 0.3742 0.4926
Al 0.7892 0.2108 0.7565
Al 0.7929 0.2071 0.1538
Al 0.8965 0.1035 0.6513
Pt 0.1079 0.8921 0.7524
Pt 0.2718 0.7282 0.9518
Pt 0.4499 0.5501 0.7172
Pt 0.5501 0.4499 0.2172
Pt 0.7282 0.2718 0.4518
Pt 0.8921 0.1079 0.2524

Results
magnetization = 0.0 μB/f.u.
symmetry = Cmc2_1 (36)
formation energy from the elements = -0.874 eV per atom
mass density = 10.7 g/cm3

[5]
Compound: PaAl2Pt
Source: Alexandria
Functional: PBE-GGA
Structure: relaxed

abc: 4.3730 4.4284 4.4284
angles: 106.39 90.00 90.00
Positions (direct):
Pa 0.0000 0.0000 0.0000
Al 0.5000 0.3089 0.6875
Al 0.5000 0.6875 0.3089
Pt 0.0000 0.5001 0.5001

Results
magnetization = 0.0 μB/f.u.
symmetry = Amm2 (38)
energy above the most stable polymorph in this dataset = 51 meV per atom
formation energy from the elements = -0.555 eV per atom
mass density = 9.7 g/cm3

[6]
Compound: PaAl5Pt3
Source: Alexandria
Functional: PBE-GGA
Structure: relaxed

abc: 6.8591 6.8591 12.3413
angles: 90.00 90.00 146.49
Positions (direct):
Pa 0.1641 0.8359 0.7500
Pa 0.8359 0.1641 0.2500
Al 0.0000 0.0000 0.0000
Al 0.0000 0.0000 0.5000
Al 0.1984 0.8016 0.0553
Al 0.1984 0.8016 0.4447
Al 0.4339 0.5661 0.6462
Al 0.4339 0.5661 0.8538
Al 0.5661 0.4339 0.1462
Al 0.5661 0.4339 0.3538
Al 0.8016 0.1984 0.5553
Al 0.8016 0.1984 0.9447
Pt 0.1436 0.8564 0.2500
Pt 0.3882 0.6118 0.0640
Pt 0.3882 0.6118 0.4360
Pt 0.6118 0.3882 0.5640
Pt 0.6118 0.3882 0.9360
Pt 0.8564 0.1436 0.7500

Results
magnetization = 0.0 μB/f.u.
symmetry = Cmcm (63)
formation energy from the elements = -0.790 eV per atom
mass density = 9.9 g/cm3